# AcLaPmHo2, optimized geometry, DFT GGA-PBE
# crystal system: orthorhombic
# energy relative to the elements: 357 meV/atom
data_AcLaPmHo2
_chemical_formula_sum 'Ac4 La4 Pm4 Ho8'
_cell_length_a 6.505
_cell_length_b 17.617
_cell_length_c 6.603
_cell_angle_alpha 90.00
_cell_angle_beta 90.00
_cell_angle_gamma 90.00
_space_group_name_H-M_alt 'C m c m'
_space_group_IT_number 63
_space_group_name_Hall '-C 2c 2'
loop_
_atom_site_label
_atom_site_fract_x
_atom_site_fract_y
_atom_site_fract_z
Ac1 0.000 0.156 0.250
La1 0.000 0.347 0.250
Pm1 0.000 0.219 0.750
Ho1 0.247 0.000 0.000

***

# HoInHg2, optimized geometry, DFT GGA-PBE
# crystal system: trigonal
# energy relative to the elements: -197 meV/atom
data_HoInHg2
_chemical_formula_sum 'Ho3 In3 Hg6'
_cell_length_a 3.8131
_cell_length_b 3.8131
_cell_length_c 25.7274
_cell_angle_alpha 90.00
_cell_angle_beta 90.00
_cell_angle_gamma 120.00
_space_group_name_H-M_alt 'R 3 m'
_space_group_IT_number 160
_space_group_name_Hall 'R 3 -2"'
loop_
_atom_site_label
_atom_site_fract_x
_atom_site_fract_y
_atom_site_fract_z
Ho1 0.0000 0.0000 0.0000
In1 0.0000 0.0000 0.1665
Hg1 0.0000 0.0000 0.4170
Hg2 0.0000 0.0000 0.5822

***

# ScPt3O, optimized geometry, DFT GGA-PBE
# crystal system: cubic
# raw formation energy: -0.19 eV per atom
# E above lowest polymorph: 0.000 eV per atom
data_ScPt3O
_chemical_formula_sum 'Sc1 Pt3 O1'
_cell_length_a 4.318
_cell_length_b 4.318
_cell_length_c 4.318
_cell_angle_alpha 90.00
_cell_angle_beta 90.00
_cell_angle_gamma 90.00
_space_group_name_H-M_alt 'P m -3 m'
_space_group_IT_number 221
_space_group_name_Hall '-P 4 2 3'
loop_
_atom_site_label
_atom_site_fract_x
_atom_site_fract_y
_atom_site_fract_z
Sc1 0.000 0.000 0.000
Pt1 0.000 0.500 0.500
O1 0.500 0.500 0.500

***

# TcMo4Rh, optimized geometry, DFT GGA-PBE
# crystal system: cubic
# energy relative to the elements: 261 meV/atom
data_TcMo4Rh
_chemical_formula_sum 'Tc4 Mo16 Rh4'
_cell_length_a 7.264
_cell_length_b 7.264
_cell_length_c 7.264
_cell_angle_alpha 90.00
_cell_angle_beta 90.00
_cell_angle_gamma 90.00
_space_group_name_H-M_alt 'F -4 3 m'
_space_group_IT_number 216
_space_group_name_Hall 'F -4 2 3'
loop_
_atom_site_label
_atom_site_fract_x
_atom_site_fract_y
_atom_site_fract_z
Tc1 0.000 0.000 0.000
Mo1 0.126 0.126 0.626
Rh1 0.250 0.250 0.250

***

# SrMgSe2, optimized geometry, DFT GGA-PBE
# crystal system: trigonal
# raw formation energy: -1.55 eV per atom
data_SrMgSe2
_chemical_formula_sum 'Sr3 Mg3 Se6'
_cell_length_a 4.1096
_cell_length_b 4.1096
_cell_length_c 21.2073
_cell_angle_alpha 90.00
_cell_angle_beta 90.00
_cell_angle_gamma 120.00
_space_group_name_H-M_alt 'R 3 m'
_space_group_IT_number 160
_space_group_name_Hall 'R 3 -2"'
loop_
_atom_site_label
_atom_site_fract_x
_atom_site_fract_y
_atom_site_fract_z
Sr1 0.0000 0.0000 0.0000
Mg1 0.0000 0.0000 0.1693
Se1 0.0000 0.0000 0.5727
Se2 0.0000 0.0000 0.7628

***

# MgTiZnI2, optimized geometry, DFT GGA-PBE
# crystal system: tetragonal
# raw formation energy: 0.56 eV per atom
data_MgTiZnI2
_chemical_formula_sum 'Mg1 Ti1 Zn1 I2'
_cell_length_a 5.665
_cell_length_b 5.665
_cell_length_c 5.860
_cell_angle_alpha 90.00
_cell_angle_beta 90.00
_cell_angle_gamma 90.00
_space_group_name_H-M_alt 'P 4/m m m'
_space_group_IT_number 123
_space_group_name_Hall '-P 4 2'
loop_
_atom_site_label
_atom_site_fract_x
_atom_site_fract_y
_atom_site_fract_z
Mg1 0.000 0.000 0.000
Ti1 0.000 0.000 0.500
Zn1 0.500 0.500 0.500
I1 0.000 0.500 0.000

***

no.,raw total energy (eV per atom)
1,-4.2313
2,-2.1774
3,-6.0735
4,-9.9130
5,-4.1107
6,-2.2158